No. 1
The following is a PBE-GGA calculation of a geometry-optimized BMoCl3 structure, from Alexandria via LeMat-Bulk.

POSCAR file:
```
BMoCl3
1.0
4.5237 0.0000 0.0000
0.0000 4.5237 0.0000
0.0000 0.0000 4.5237
Mo B Cl
1 1 3
Cartesian
2.2618 2.2618 2.2618 Mo
0.0000 0.0000 0.0000 B
0.0000 2.2618 0.0000 Cl
0.0000 0.0000 2.2618 Cl
2.2618 0.0000 0.0000 Cl
```

Properties
relative energy among the computed polymorphs = 180.1 meV/atom
E = -18.782 eV per cell
spin magnetization = 0.8985 μB per atom
ΔE_f (raw) = 19.678 kcal/mol of atoms



No. 2
The following is a PBE-GGA calculation of a geometry-optimized BMoCl2 structure, from Alexandria via LeMat-Bulk.

POSCAR file:
```
BMoCl2
1.0
6.4978 -4.6133 4.3705
8.0602 -2.0566 3.6619
6.3035 -2.1366 6.1893
Mo B Cl
1 1 2
Cartesian
10.4307 -4.4032 7.1108 Mo
0.0000 0.0000 0.0000 B
18.7430 -7.9122 12.7775 Cl
2.1184 -0.8943 1.4442 Cl
```

Properties
relative energy among the computed polymorphs = 0.0 meV/atom
E = -17.767 eV per cell
spin magnetization = 0.0000 μB per atom
ΔE_f (raw) = 19.801 kcal/mol of atoms



Q: What is the relative energy among the computed polymorphs in the second record?
A: 0.0 meV/atom



Q: Which formula does entry 2 have?
A: BMoCl2



Copy entry 2 word for word.
The following is a PBE-GGA calculation of a geometry-optimized BMoCl2 structure, from Alexandria via LeMat-Bulk.

POSCAR file:
```
BMoCl2
1.0
6.4978 -4.6133 4.3705
8.0602 -2.0566 3.6619
6.3035 -2.1366 6.1893
Mo B Cl
1 1 2
Cartesian
10.4307 -4.4032 7.1108 Mo
0.0000 0.0000 0.0000 B
18.7430 -7.9122 12.7775 Cl
2.1184 -0.8943 1.4442 Cl
```

Properties
relative energy among the computed polymorphs = 0.0 meV/atom
E = -17.767 eV per cell
spin magnetization = 0.0000 μB per atom
ΔE_f (raw) = 19.801 kcal/mol of atoms



Repeat the second record exactly.
The following is a PBE-GGA calculation of a geometry-optimized BMoCl2 structure, from Alexandria via LeMat-Bulk.

POSCAR file:
```
BMoCl2
1.0
6.4978 -4.6133 4.3705
8.0602 -2.0566 3.6619
6.3035 -2.1366 6.1893
Mo B Cl
1 1 2
Cartesian
10.4307 -4.4032 7.1108 Mo
0.0000 0.0000 0.0000 B
18.7430 -7.9122 12.7775 Cl
2.1184 -0.8943 1.4442 Cl
```

Properties
relative energy among the computed polymorphs = 0.0 meV/atom
E = -17.767 eV per cell
spin magnetization = 0.0000 μB per atom
ΔE_f (raw) = 19.801 kcal/mol of atoms